Density functional theory data (PBE-GGA) for crystalline MnPbSe2 at its relaxed geometry.

Properties
The total magnetization comes out at 5.01 Bohr magnetons per cell. The density of states at the Fermi level comes out at 0.19 states/eV per cell. For the formation energy (no corrections), the calculation gives -1.24 eV per formula unit.

Lattice parameters (Å, degrees): 4.0152 4.0152 6.7613 90.00 90.00 90.00
Last column: nearest neighbours and their distance in Å.
Space group P4mm (No. 99)
One atom of each set of equivalent atoms:
Mn 0.0000 0.0000 0.0000 x1  1 Se 2.51
Pb 0.5000 0.5000 0.5060 x1  5 Se 2.96-3.00
Se 0.0000 0.0000 0.6291 x1  1 Mn 2.51
Se 0.5000 0.5000 0.0625 x1  4 Mn 2.87, 1 Pb 3.00